Here is a relaxed Cr2SiSeF crystal from Alexandria via LeMat-Bulk. Energies are from GGA+U.

a = 4.711 Å, b = 4.711 Å, c = 4.175 Å
α = 90.00°, β = 90.00°, γ = 90.00°
Atoms (fractional coordinates):
Cr: 0.000 0.500 0.000
Cr: 0.500 0.000 0.000
Si: 0.000 0.000 0.500
Se: 0.500 0.500 0.500
F: 0.000 0.000 0.000

Calculated values
VASP energy ... -5.19 eV/atom
Symmetry ... P4/mmm